1.
LaNb2Ir | GGA-PBE | optimized geometry

Lattice parameters (Å, degrees): 6.696 6.696 6.696 90.00 90.00 90.00
Space group Fm-3m (No. 225)
One atom of each set of equivalent atoms:
La (0.000, 0.000, 0.000) (multiplicity 4)
Nb (0.250, 0.250, 0.250) (multiplicity 8)
Ir (0.000, 0.000, 0.500) (multiplicity 4)

- Magnetization: 0.0 Bohr magnetons per cell

2.
LaNb2Ir | GGA-PBE | optimized geometry

Lattice parameters (Å, degrees): 7.990 7.990 5.743 90.00 90.00 90.00
Space group I-42d (No. 122)
One atom of each set of equivalent atoms:
La (0.000, 0.000, 0.000) (multiplicity 4)
Nb (0.189, 0.250, 0.625) (multiplicity 8)
Ir (0.000, 0.000, 0.500) (multiplicity 4)

- Magnetization: 0.0 Bohr magnetons per cell

If you had to name the least stable structure above, which would it be? It would be 2.